DFT (meta-GGA SCAN) results for Si5Hg3 at its PBEsol-relaxed geometry.

a = 3.333 Å, b = 3.333 Å, c = 14.728 Å
α = 90.00°, β = 90.00°, γ = 90.00°
Positions (direct):
Hg (0.000, 0.000, 0.500)
Hg (0.500, 0.500, 0.113)
Hg (0.500, 0.500, 0.887)
Si (0.000, 0.000, 0.000)
Si (0.000, 0.000, 0.330)
Si (0.000, 0.000, 0.670)
Si (0.500, 0.500, 0.284)
Si (0.500, 0.500, 0.716)

Computed properties:
- formation energy from raw total energies (eV per atom) = 0.4412
- N(E_F) (states/eV per cell) = 2.89
- calculated density (Mg/m³) = 7.53
- total magnetization (μB/f.u.) = 0.0